# 1
Pr4OsSeCl2: optimized geometry, PBE.

Calculated values
For the formation energy without anion corrections, the calculation gives -1.208 eV per atom. The calculation puts the density of states at the Fermi level at 6.1 states/eV/f.u.

Cell: 7.5154 4.1359 7.6290 Å, 90.00 107.57 90.00°
Closest atoms and distances in Å follow each position.
Space group P2/m (No. 10)
One atom of each set of equivalent atoms:
Pr (0.2138, 0.0000, 0.2174)  2 Os 2.83, 1 Se 3.05, 1 Cl 3.09
Pr (0.2214, 0.5000, 0.7606)  1 Os 2.82, 2 Se 3.00, 2 Cl 3.11
Os (0.0000, 0.5000, 0.0000)  6 Pr 2.82-2.83
Se (0.0000, 0.0000, 0.5000)  6 Pr 3.00-3.05
Cl (0.5000, 0.0000, 0.0000)  6 Pr 3.09-3.11
Cl (0.5000, 0.5000, 0.5000)  6 Pr 3.28-3.29

# 2
Pr8Si3OsCl4: optimized geometry, PBE.

Calculated values
For the formation energy without anion corrections, the calculation gives -1.061 eV per atom. The calculation puts the density of states at the Fermi level at 11.3 states/eV/f.u.

Cell: 8.5327 8.5327 21.4266 Å, 90.00 90.00 120.00°
Closest atoms and distances in Å follow each position.
Space group R-3m (No. 166, hexagonal axes)
One atom of each set of equivalent atoms:
Pr (0.0000, 0.0000, 0.2421)  3 Si 2.95, 3 Cl 3.14
Pr (0.0115, 0.5057, 0.2388)  1 Os 2.84, 2 Si 2.94, 2 Cl 3.16
Si (0.0000, 0.5000, 0.5000)  6 Pr 2.94-2.95
Os (0.0000, 0.0000, 0.5000)  6 Pr 2.84
Cl (0.0000, 0.0000, 0.0000)  6 Pr 3.26
Cl (0.0000, 0.5000, 0.0000)  6 Pr 3.14-3.16

# 3
Pr6Si2OsCl3: optimized geometry, PBE.

Calculated values
For the formation energy without anion corrections, the calculation gives -1.028 eV per atom. The calculation puts the density of states at the Fermi level at 6.8 states/eV/f.u.

Cell: 18.8405 4.2078 8.8427 Å, 90.00 104.77 90.00°
Closest atoms and distances in Å follow each position.
Space group C2/m (No. 12)
One atom of each set of equivalent atoms:
Pr (0.0042, 0.0000, 0.2252)  2 Os 2.88, 1 Si 2.95
Pr (0.1520, 0.5000, 0.0995)  1 Os 2.77, 2 Si 2.96
Pr (0.1734, 0.5000, 0.5721)  3 Si 2.92-2.94, 3 Cl 3.15-3.17
Si (0.1654, 0.0000, 0.3398)  6 Pr 2.92-2.96
Os (0.0000, 0.5000, 0.0000)  6 Pr 2.77-2.88
Cl (0.0000, 0.5000, 0.5000)  6 Pr 3.17-3.23
Cl (0.1733, 0.0000, 0.8366)  6 Pr 3.15-3.25

# 4
Pr8SiOs3Cl4: optimized geometry, PBE.

Calculated values
For the formation energy without anion corrections, the calculation gives -0.840 eV per atom. The calculation puts the density of states at the Fermi level at 7.8 states/eV/f.u.

Cell: 14.5041 8.3783 8.9397 Å, 90.00 122.80 90.00°
Closest atoms and distances in Å follow each position.
Space group C2/m (No. 12)
One atom of each set of equivalent atoms:
Pr (0.0181, 0.2412, 0.2960)  2 Os 2.83, 1 Si 2.94
Pr (0.2385, 0.0000, 0.7149)  3 Os 2.91, 3 Cl 3.23
Pr (0.2407, 0.5000, 0.7040)  2 Os 2.83, 1 Si 2.94
Si (0.0000, 0.5000, 0.5000)  6 Pr 2.94
Os (0.0000, 0.0000, 0.5000)  6 Pr 2.83-2.91
Os (0.2500, 0.2500, 0.5000)  6 Pr 2.83-2.91
Cl (0.0000, 0.0000, 0.0000)  6 Pr 3.22-3.23
Cl (0.0000, 0.5000, 0.0000)  6 Pr 3.23-3.32
Cl (0.2500, 0.2500, 0.0000)  6 Pr 3.23-3.32

# 5
Pr3TeOsCl: optimized geometry, PBE.

Calculated values
For the formation energy without anion corrections, the calculation gives -0.847 eV per atom. The calculation puts the density of states at the Fermi level at 3.3 states/eV/f.u.

Cell: 8.8274 4.4359 9.4737 Å, 90.00 105.09 90.00°
Closest atoms and distances in Å follow each position.
Space group P2_1/m (No. 11)
One atom of each set of equivalent atoms:
Pr (0.0806, 0.2500, 0.3110)  3 Os 2.87-2.90
Pr (0.2304, 0.2500, 0.9557)  3 Cl 2.80-3.13, 1 Os 3.09
Pr (0.3085, 0.7500, 0.6108)  1 Cl 2.75, 2 Os 2.93
Te (0.3564, 0.7500, 0.2769)  5 Pr 3.30-3.63, 1 Cl 3.60
Os (0.0940, 0.2500, 0.6202)  6 Pr 2.87-3.09
Cl (0.4056, 0.7500, 0.9111)  3 Pr 2.75-2.80, 2 Cl 3.01

# 6
Pr4TeOsCl2: optimized geometry, PBE.

Calculated values
For the formation energy without anion corrections, the calculation gives -1.098 eV per atom. The calculation puts the density of states at the Fermi level at 6.5 states/eV/f.u.

Cell: 7.4920 4.2130 7.9665 Å, 90.00 108.47 90.00°
Closest atoms and distances in Å follow each position.
Space group P2/m (No. 10)
One atom of each set of equivalent atoms:
Pr (0.2167, 0.0000, 0.2103)  2 Os 2.86, 1 Cl 3.09
Pr (0.2340, 0.5000, 0.7856)  1 Os 2.81, 2 Cl 3.03
Te (0.0000, 0.0000, 0.5000)  6 Pr 3.19-3.21
Os (0.0000, 0.5000, 0.0000)  6 Pr 2.81-2.86
Cl (0.5000, 0.0000, 0.0000)  6 Pr 3.03-3.09
Cl (0.5000, 0.5000, 0.5000)  6 Pr 3.34-3.47

# 7
PrThOsCl: optimized geometry, PBE.

Calculated values
For the formation energy without anion corrections, the calculation gives -0.840 eV per atom. The calculation puts the density of states at the Fermi level at 1.4 states/eV/f.u.

Cell: 4.1362 4.1362 23.3230 Å, 90.00 90.00 120.00°
Closest atoms and distances in Å follow each position.
Space group R3m (No. 160, hexagonal axes)
One atom of each set of equivalent atoms:
Pr (0.0000, 0.0000, 0.0000)  3 Os 2.91
Th (0.0000, 0.0000, 0.7970)  3 Os 2.76
Os (0.0000, 0.0000, 0.4043)  3 Th 2.76, 3 Pr 2.91
Cl (0.0000, 0.0000, 0.2315)  3 Th 3.36, 3 Pr 3.37

# 8
OsPtCl2: optimized geometry, PBE.

Calculated values
For the formation energy without anion corrections, the calculation gives 0.469 eV per atom. The calculation puts the density of states at the Fermi level at 4.0 states/eV/f.u. The energy above the most stable polymorph in this dataset is 322 meV/atom.

Cell: 3.0260 3.0260 8.3246 Å, 90.00 90.00 90.00°
Closest atoms and distances in Å follow each position.
Space group P4mm (No. 99)
One atom of each set of equivalent atoms:
Os (0.0000, 0.0000, 0.0000)  4 Pt 2.66, 4 Cl 2.69
Pt (0.5000, 0.5000, 0.1895)  4 Os 2.66, 4 Cl 2.78
Cl (0.0000, 0.0000, 0.4034)  4 Pt 2.78, 4 Cl 3.03
Cl (0.5000, 0.5000, 0.8049)  4 Os 2.69

# 9
OsPtCl: optimized geometry, PBE.

Calculated values
For the formation energy without anion corrections, the calculation gives 0.641 eV per atom. The calculation puts the density of states at the Fermi level at 3.8 states/eV/f.u. The energy above the most stable polymorph in this dataset is 12 meV/atom.

Cell: 2.7792 5.1156 13.8776 Å, 90.00 90.00 90.00°
Closest atoms and distances in Å follow each position.
Space group Fmm2 (No. 42)
One atom of each set of equivalent atoms:
Os (0.0000, 0.0000, 0.0000)  2 Cl 2.40, 2 Pt 2.65
Pt (0.0000, 0.0000, 0.3371)  2 Os 2.65, 6 Pt 2.78-2.91
Cl (0.0000, 0.0000, 0.6409)  2 Os 2.40

# 10
Os2PtCl: optimized geometry, PBE.

Calculated values
For the formation energy without anion corrections, the calculation gives 1.158 eV per atom. The calculation puts the density of states at the Fermi level at 3.9 states/eV/f.u. The energy above the most stable polymorph in this dataset is 768 meV/atom.

Cell: 4.1931 4.1931 6.9982 Å, 90.00 90.00 90.00°
Closest atoms and distances in Å follow each position.
Space group I-4m2 (No. 119)
One atom of each set of equivalent atoms:
Os (0.0000, 0.0000, 0.0000)  4 Os 2.73, 4 Pt 2.73, 4 Cl 2.96
Os (0.0000, 0.5000, 0.2500)  4 Cl 2.73, 4 Os 2.73, 4 Pt 2.96
Pt (0.0000, 0.5000, 0.7500)  4 Cl 2.73, 8 Os 2.73-2.96
Cl (0.0000, 0.0000, 0.5000)  8 Os 2.73-2.96, 4 Pt 2.73

# 11
Os2PtCl: optimized geometry, PBE.

Calculated values
For the formation energy without anion corrections, the calculation gives 1.020 eV per atom. The calculation puts the density of states at the Fermi level at 6.1 states/eV/f.u. The energy above the most stable polymorph in this dataset is 630 meV/atom.

Cell: 2.8314 2.8314 7.6479 Å, 90.00 90.00 90.00°
Closest atoms and distances in Å follow each position.
Space group P4/mmm (No. 123)
One atom of each set of equivalent atoms:
Os (0.0000, 0.0000, 0.2418)  4 Pt 2.73, 4 Cl 2.81, 4 Os 2.83
Pt (0.5000, 0.5000, 0.0000)  8 Os 2.73, 4 Pt 2.83
Cl (0.5000, 0.5000, 0.5000)  8 Os 2.81, 4 Cl 2.83

# 12
OsPtCl2: optimized geometry, PBE.

Calculated values
For the formation energy without anion corrections, the calculation gives 0.740 eV per atom. The calculation puts the density of states at the Fermi level at 3.9 states/eV/f.u. The energy above the most stable polymorph in this dataset is 594 meV/atom.

Cell: 8.4242 8.4242 4.9542 Å, 90.00 90.00 90.00°
Closest atoms and distances in Å follow each position.
Space group I-42d (No. 122)
One atom of each set of equivalent atoms:
Os (0.0000, 0.0000, 0.0000)  4 Cl 2.38, 2 Pt 2.48
Pt (0.0000, 0.0000, 0.5000)  2 Os 2.48
Cl (0.1090, 0.2500, 0.1250)  2 Os 2.38

What is the density of states at the Fermi level in the third record? 6.8 states/eV/f.u.